Density functional theory data (PBE) for a relaxed Sm2YTl3S6 crystal.

POSCAR file:
```
Sm2YTl3S6
1.0
7.0952 -0.0006 0.0002
-3.5464 6.1453 0.0002
-1.1835 -2.0491 7.5098
Sm Y Tl S
2 1 3 6
Direct
0.3333 0.6667 0.0000
0.6667 0.3333 0.0000
0.0000 0.0000 0.0000
0.1673 0.8327 0.5000
0.8327 0.1673 0.5000
0.5000 0.5000 0.5000
0.9331 0.6049 0.7995
0.7390 0.7390 0.2017
0.0669 0.3951 0.2005
0.6049 0.9331 0.7995
0.2610 0.2610 0.7983
0.3951 0.0669 0.2005
```

Calculated values
ΔE_f (raw)	-1.48	eV/atom
density of states at the Fermi level	0.0	states/eV per cell
density	6.1	g/cm³
symmetry	C2/m